# Na2Hg2MoO6 | Alexandria via LeMat-Bulk | PBE with a Hubbard U | optimized geometry
data_Na2Hg2MoO6
_space_group_name_H-M_alt 'C 1 2/m 1'
_space_group_IT_number 12
_cell_length_a 6.249
_cell_length_b 9.236
_cell_length_c 6.192
_cell_angle_alpha 90.00
_cell_angle_beta 119.40
_cell_angle_gamma 90.00
loop_
_space_group_symop_operation_xyz
'x,y,z'
'-x,-y,-z'
'-x,y,-z'
'x,-y,z'
'x+1/2,y+1/2,z'
'-x+1/2,-y+1/2,-z'
'-x+1/2,y+1/2,-z'
'x+1/2,-y+1/2,z'
loop_
_atom_site_label
_atom_site_fract_x
_atom_site_fract_y
_atom_site_fract_z
Na1 0.000 0.151 0.000
Hg1 0.000 0.306 0.500
Mo1 0.000 0.500 0.000
O1 0.158 0.500 0.781
O2 0.229 0.352 0.201
# * calculated volume: 311.34 Å³/cell
# * M_tot: 0.00 μB/cell
# * electronic total energy: -103.3 eV for the cell shown